# KLaHg | Alexandria | PBE | optimized geometry
# Symmetry: Amm2, No. 38
# Electronic total energy, eV per atom: -2.1344
# Theoretical density, g/cm³: 5.34
# Energy relative to the elements, eV/atom: -0.025
# E above lowest polymorph, meV per atom: 87
data_KLaHg
_symmetry_space_group_name_H-M 'P 1'
_symmetry_Int_Tables_number 1
_cell_length_a 3.916
_cell_length_b 3.913
_cell_length_c 17.732
_cell_angle_alpha 90.00
_cell_angle_beta 90.00
_cell_angle_gamma 120.02
loop_
_symmetry_equiv_pos_as_xyz
'x,y,z'
loop_
_atom_site_label
_atom_site_type_symbol
_atom_site_fract_x
_atom_site_fract_y
_atom_site_fract_z
Hg1 Hg 0.609 0.218 0.000
Hg2 Hg 0.280 0.559 0.500
La1 La 0.613 0.226 0.366
La2 La 0.613 0.226 0.634
K1 K 0.276 0.552 0.843
K2 K 0.276 0.552 0.157

# KLaHg2 | Alexandria | PBE | optimized geometry
# Symmetry: Imm2, No. 44
# Electronic total energy, eV per atom: -1.8567
# Theoretical density, g/cm³: 7.66
# Energy relative to the elements, eV/atom: -0.200
data_KLaHg2
_symmetry_space_group_name_H-M 'P 1'
_symmetry_Int_Tables_number 1
_cell_length_a 6.867
_cell_length_b 6.867
_cell_length_c 6.867
_cell_angle_alpha 148.20
_cell_angle_beta 132.16
_cell_angle_gamma 58.59
loop_
_symmetry_equiv_pos_as_xyz
'x,y,z'
loop_
_atom_site_label
_atom_site_type_symbol
_atom_site_fract_x
_atom_site_fract_y
_atom_site_fract_z
Hg1 Hg 0.987 0.987 0.000
Hg2 Hg 0.780 0.280 0.500
K1 K 0.514 0.514 0.000
La1 La 0.218 0.718 0.500

# K3LaHg | Alexandria | PBE | optimized geometry
# Symmetry: Pm-3m, No. 221
# Electronic total energy, eV per atom: -0.9318
# Theoretical density, g/cm³: 1.87
# Energy relative to the elements, eV/atom: 0.773
data_K3LaHg
_symmetry_space_group_name_H-M 'P 1'
_symmetry_Int_Tables_number 1
_cell_length_a 7.404
_cell_length_b 7.404
_cell_length_c 7.404
_cell_angle_alpha 90.00
_cell_angle_beta 90.00
_cell_angle_gamma 90.00
loop_
_symmetry_equiv_pos_as_xyz
'x,y,z'
loop_
_atom_site_label
_atom_site_type_symbol
_atom_site_fract_x
_atom_site_fract_y
_atom_site_fract_z
K1 K 0.000 0.500 0.000
K2 K 0.000 0.000 0.500
K3 K 0.500 0.000 0.000
Hg1 Hg 0.500 0.500 0.500
La1 La 0.000 0.000 0.000

# KLa4Hg5 | Alexandria | PBE | optimized geometry
# Symmetry: P4/mmm, No. 123
# Electronic total energy, eV per atom: -2.6700
# Theoretical density, g/cm³: 8.50
# Energy relative to the elements, eV/atom: -0.438
data_KLa4Hg5
_symmetry_space_group_name_H-M 'P 1'
_symmetry_Int_Tables_number 1
_cell_length_a 3.923
_cell_length_b 3.923
_cell_length_c 20.274
_cell_angle_alpha 90.00
_cell_angle_beta 90.00
_cell_angle_gamma 90.00
loop_
_symmetry_equiv_pos_as_xyz
'x,y,z'
loop_
_atom_site_label
_atom_site_type_symbol
_atom_site_fract_x
_atom_site_fract_y
_atom_site_fract_z
K1 K 0.000 0.000 0.000
La1 La 0.000 0.000 0.212
La2 La 0.000 0.000 0.404
La3 La 0.000 0.000 0.596
La4 La 0.000 0.000 0.788
Hg1 Hg 0.500 0.500 0.122
Hg2 Hg 0.500 0.500 0.308
Hg3 Hg 0.500 0.500 0.500
Hg4 Hg 0.500 0.500 0.692
Hg5 Hg 0.500 0.500 0.878

# K2LaHg | Alexandria | PBE | optimized geometry
# Symmetry: F-43m, No. 216
# Electronic total energy, eV per atom: -1.6282
# Theoretical density, g/cm³: 4.74
# Energy relative to the elements, eV/atom: 0.228
data_K2LaHg
_symmetry_space_group_name_H-M 'P 1'
_symmetry_Int_Tables_number 1
_cell_length_a 5.916
_cell_length_b 5.916
_cell_length_c 5.916
_cell_angle_alpha 60.00
_cell_angle_beta 60.00
_cell_angle_gamma 60.00
loop_
_symmetry_equiv_pos_as_xyz
'x,y,z'
loop_
_atom_site_label
_atom_site_type_symbol
_atom_site_fract_x
_atom_site_fract_y
_atom_site_fract_z
Hg1 Hg 0.500 0.500 0.500
K1 K 0.000 0.000 0.000
K2 K 0.250 0.250 0.250
La1 La 0.750 0.750 0.750

# K2LaHg | Alexandria | PBE | optimized geometry
# Symmetry: Pm, No. 6
# Electronic total energy, eV per atom: -1.9386
# Theoretical density, g/cm³: 3.70
# Energy relative to the elements, eV/atom: -0.083
data_K2LaHg
_symmetry_space_group_name_H-M 'P 1'
_symmetry_Int_Tables_number 1
_cell_length_a 4.063
_cell_length_b 4.064
_cell_length_c 12.065
_cell_angle_alpha 70.20
_cell_angle_beta 90.00
_cell_angle_gamma 90.00
loop_
_symmetry_equiv_pos_as_xyz
'x,y,z'
loop_
_atom_site_label
_atom_site_type_symbol
_atom_site_fract_x
_atom_site_fract_y
_atom_site_fract_z
Hg1 Hg 0.500 0.791 0.711
K1 K 0.000 0.067 0.927
K2 K 0.500 0.221 0.280
La1 La 0.000 0.421 0.582

# KLaHg | Alexandria | PBE | optimized geometry
# Symmetry: F-43m, No. 216
# Electronic total energy, eV per atom: -1.9912
# Theoretical density, g/cm³: 5.36
# Energy relative to the elements, eV/atom: 0.118
# E above lowest polymorph, meV per atom: 230
data_KLaHg
_symmetry_space_group_name_H-M 'P 1'
_symmetry_Int_Tables_number 1
_cell_length_a 5.495
_cell_length_b 5.495
_cell_length_c 5.495
_cell_angle_alpha 60.00
_cell_angle_beta 60.00
_cell_angle_gamma 60.00
loop_
_symmetry_equiv_pos_as_xyz
'x,y,z'
loop_
_atom_site_label
_atom_site_type_symbol
_atom_site_fract_x
_atom_site_fract_y
_atom_site_fract_z
Hg1 Hg 0.750 0.750 0.750
K1 K 0.000 0.000 0.000
La1 La 0.500 0.500 0.500

# K2LaHg | Alexandria | PBE | optimized geometry
# Symmetry: Immm, No. 71
# Electronic total energy, eV per atom: -1.8736
# Theoretical density, g/cm³: 3.58
# Energy relative to the elements, eV/atom: -0.018
data_K2LaHg
_symmetry_space_group_name_H-M 'P 1'
_symmetry_Int_Tables_number 1
_cell_length_a 10.271
_cell_length_b 10.271
_cell_length_c 10.271
_cell_angle_alpha 158.61
_cell_angle_beta 150.61
_cell_angle_gamma 36.64
loop_
_symmetry_equiv_pos_as_xyz
'x,y,z'
loop_
_atom_site_label
_atom_site_type_symbol
_atom_site_fract_x
_atom_site_fract_y
_atom_site_fract_z
Hg1 Hg 0.250 0.750 0.500
K1 K 0.087 0.087 0.000
K2 K 0.413 0.413 0.000
La1 La 0.750 0.250 0.500

# K2LaHg | Alexandria | PBE | optimized geometry
# Symmetry: C2/m, No. 12
# Electronic total energy, eV per atom: -1.6766
# Theoretical density, g/cm³: 4.35
# Energy relative to the elements, eV/atom: 0.179
data_K2LaHg
_symmetry_space_group_name_H-M 'P 1'
_symmetry_Int_Tables_number 1
_cell_length_a 7.812
_cell_length_b 7.812
_cell_length_c 3.831
_cell_angle_alpha 76.61
_cell_angle_beta 76.61
_cell_angle_gamma 127.09
loop_
_symmetry_equiv_pos_as_xyz
'x,y,z'
loop_
_atom_site_label
_atom_site_type_symbol
_atom_site_fract_x
_atom_site_fract_y
_atom_site_fract_z
Hg1 Hg 0.000 0.500 0.500
K1 K 0.000 0.000 0.000
K2 K 0.500 0.500 0.000
La1 La 0.500 0.000 0.500

# KLa3Hg | Alexandria | PBE | optimized geometry
# Symmetry: Pm-3m, No. 221
# Electronic total energy, eV per atom: -2.2764
# Theoretical density, g/cm³: 6.06
# Energy relative to the elements, eV/atom: 0.960
data_KLa3Hg
_symmetry_space_group_name_H-M 'P 1'
_symmetry_Int_Tables_number 1
_cell_length_a 5.645
_cell_length_b 5.645
_cell_length_c 5.645
_cell_angle_alpha 90.00
_cell_angle_beta 90.00
_cell_angle_gamma 90.00
loop_
_symmetry_equiv_pos_as_xyz
'x,y,z'
loop_
_atom_site_label
_atom_site_type_symbol
_atom_site_fract_x
_atom_site_fract_y
_atom_site_fract_z
K1 K 0.000 0.000 0.000
Hg1 Hg 0.500 0.500 0.500
La1 La 0.000 0.500 0.000
La2 La 0.000 0.000 0.500
La3 La 0.500 0.000 0.000

# KLaHg3 | Alexandria | PBE | optimized geometry
# Symmetry: Pm-3m, No. 221
# Electronic total energy, eV per atom: -1.3538
# Theoretical density, g/cm³: 5.62
# Energy relative to the elements, eV/atom: 0.032
# E above lowest polymorph, meV per atom: 0
data_KLaHg3
_symmetry_space_group_name_H-M 'P 1'
_symmetry_Int_Tables_number 1
_cell_length_a 6.131
_cell_length_b 6.131
_cell_length_c 6.131
_cell_angle_alpha 90.00
_cell_angle_beta 90.00
_cell_angle_gamma 90.00
loop_
_symmetry_equiv_pos_as_xyz
'x,y,z'
loop_
_atom_site_label
_atom_site_type_symbol
_atom_site_fract_x
_atom_site_fract_y
_atom_site_fract_z
K1 K 0.500 0.500 0.500
Hg1 Hg 0.000 0.500 0.000
Hg2 Hg 0.000 0.000 0.500
Hg3 Hg 0.500 0.000 0.000
La1 La 0.000 0.000 0.000

# KLaHg2 | Alexandria | PBE | optimized geometry
# Symmetry: R-3m, No. 166
# Electronic total energy, eV per atom: -1.8719
# Theoretical density, g/cm³: 6.75
# Energy relative to the elements, eV/atom: -0.215
data_KLaHg2
_symmetry_space_group_name_H-M 'P 1'
_symmetry_Int_Tables_number 1
_cell_length_a 10.081
_cell_length_b 10.081
_cell_length_c 10.081
_cell_angle_alpha 23.46
_cell_angle_beta 23.46
_cell_angle_gamma 23.46
loop_
_symmetry_equiv_pos_as_xyz
'x,y,z'
loop_
_atom_site_label
_atom_site_type_symbol
_atom_site_fract_x
_atom_site_fract_y
_atom_site_fract_z
Hg1 Hg 0.008 0.008 0.008
Hg2 Hg 0.492 0.492 0.492
K1 K 0.250 0.250 0.250
La1 La 0.750 0.750 0.750

# KLi2LaHg | Alexandria | PBE | optimized geometry
# Symmetry: P4/mmm, No. 123
# Electronic total energy, eV per atom: -1.5215
# Theoretical density, g/cm³: 2.82
# Energy relative to the elements, eV/atom: 0.509
data_KLi2LaHg
_symmetry_space_group_name_H-M 'P 1'
_symmetry_Int_Tables_number 1
_cell_length_a 6.180
_cell_length_b 6.051
_cell_length_c 6.180
_cell_angle_alpha 90.00
_cell_angle_beta 90.00
_cell_angle_gamma 90.00
loop_
_symmetry_equiv_pos_as_xyz
'x,y,z'
loop_
_atom_site_label
_atom_site_type_symbol
_atom_site_fract_x
_atom_site_fract_y
_atom_site_fract_z
K1 K 0.500 0.500 0.500
Li1 Li 0.000 0.000 0.500
Li2 Li 0.500 0.000 0.000
Hg1 Hg 0.000 0.500 0.000
La1 La 0.000 0.000 0.000